(1)
Density functional theory data (PBE) for crystalline Ba2Mg12Al3Hg at its relaxed geometry.

## Properties
energy of formation from the pure elements	27	kJ per mole of atoms
symmetry	No. 166

a b c (Å): 8.929 8.929 8.929
angles (deg): 69.81 69.81 69.81
Positions (direct):
1 Ba 0.603 0.603 0.603
2 Mg 0.878 0.256 0.256
3 Mg 0.744 0.122 0.744
4 Ba 0.397 0.397 0.397
5 Hg 0.000 0.000 0.000
6 Mg 0.646 0.129 0.129
7 Mg 0.129 0.646 0.129
8 Mg 0.122 0.744 0.744
9 Mg 0.256 0.256 0.878
10 Al 0.000 0.000 0.500
11 Mg 0.871 0.871 0.354
12 Mg 0.129 0.129 0.646
13 Al 0.000 0.500 0.000
14 Mg 0.744 0.744 0.122
15 Mg 0.256 0.878 0.256
16 Mg 0.354 0.871 0.871
17 Al 0.500 0.000 0.000
18 Mg 0.871 0.354 0.871

(2)
Density functional theory data (PBE) for crystalline BaMgAlHg3 at its relaxed geometry.

## Properties
energy of formation from the pure elements	-17	kJ per mole of atoms
symmetry	No. 63

a b c (Å): 7.152 7.317 7.647
angles (deg): 118.58 90.00 90.00
Positions (direct):
1 Mg 0.250 0.990 0.980
2 Mg 0.750 0.010 0.020
3 Al 0.250 0.391 0.783
4 Ba 0.750 0.284 0.567
5 Hg 0.250 0.193 0.387
6 Hg 0.500 0.289 0.000
7 Hg 0.000 0.711 0.000
8 Hg 0.000 0.289 0.000
9 Hg 0.750 0.807 0.613
10 Al 0.750 0.609 0.217
11 Ba 0.250 0.716 0.433
12 Hg 0.500 0.711 0.000

(3)
Density functional theory data (PBE) for crystalline BaNdAlHg at its relaxed geometry.

## Properties
energy of formation from the pure elements	-21	kJ per mole of atoms
symmetry	No. 216

a b c (Å): 5.640 5.640 5.640
angles (deg): 60.00 60.00 60.00
Positions (direct):
1 Nd 0.500 0.500 0.500
2 Al 0.250 0.250 0.250
3 Ba 0.000 0.000 0.000
4 Hg 0.750 0.750 0.750

(4)
Density functional theory data (PBE) for crystalline BaAlHg2O4 at its relaxed geometry.

## Properties
raw formation energy	-1.604	eV/atom
symmetry	No. 121

a b c (Å): 6.125 5.597 5.597
angles (deg): 78.60 56.82 56.82
Positions (direct):
1 O 0.000 0.817 0.526
2 Hg 0.500 0.749 0.251
3 Ba 0.000 0.000 0.000
4 O 0.657 0.526 0.817
5 O 0.343 0.183 0.474
6 Hg 0.500 0.251 0.749
7 O 0.000 0.474 0.183
8 Al 0.000 0.500 0.500